Entry from the Alexandria database: an optimized crystal structure of NaDyH (PBE).

abc: 3.4541 3.4541 6.3312
angles: 90.00 90.00 120.00
Atoms (fractional coordinates):
Na 0.0000 0.0000 0.0613
H 0.6667 0.3333 0.3834
Dy 0.3333 0.6667 0.5553

Values from the calculation:
**Space-group type**: No. 156
**Polymorph energy (0 for the lowest one)**: 0.1364 eV/atom
**DOS(E_F)**: 2.2 states/eV per cell


Entry from the Alexandria database: an optimized crystal structure of Ac8TlSi2 (PBE).

abc: 6.2276 8.7122 8.7122
angles: 114.19 97.59 97.59
Atoms (fractional coordinates):
Ac 0.5000 0.2459 0.7541
Si 0.0000 0.3091 0.6909
Tl 0.5000 0.0000 0.0000
Ac 0.2950 0.6094 0.6094
Ac 0.0936 0.3256 0.0732
Ac 0.7050 0.3906 0.3906
Ac 0.5000 0.7541 0.2459
Si 0.0000 0.6909 0.3091
Ac 0.0936 0.0732 0.3256
Ac 0.9064 0.6744 0.9268
Ac 0.9064 0.9268 0.6744

Values from the calculation:
**Formation energy without anion corrections**: -0.18 eV per atom
**Space-group type**: No. 12
**DOS(E_F)**: 14.4 states/eV per cell


Entry from the Alexandria database: an optimized crystal structure of TbHo3In3 (PBE).

abc: 5.1512 9.3188 9.3188
angles: 120.00 90.00 90.00
Atoms (fractional coordinates):
Ho 0.7500 0.0027 0.7697
Tb 0.2500 0.6667 0.3333
In 0.2500 0.0715 0.6173
Tb 0.7500 0.3333 0.6667
In 0.7500 0.9285 0.3827
In 0.7500 0.4543 0.0715
In 0.2500 0.3827 0.4543
Ho 0.7500 0.7670 0.9973
Ho 0.2500 0.7697 0.7670
Ho 0.2500 0.2330 0.0027
In 0.2500 0.5457 0.9285
Ho 0.7500 0.2303 0.2330
In 0.7500 0.6173 0.5457
Ho 0.2500 0.9973 0.2303

Values from the calculation:
**Energy of formation**: -2.4 eV per formula unit
**Space-group type**: No. 176
**Polymorph energy (0 for the lowest one)**: 0.0000 eV/atom
**DOS(E_F)**: 11.1 states/eV per cell


Entry from the Alexandria database: an optimized crystal structure of LaPt2Rh (PBE).

abc: 4.7508 4.7508 4.7508
angles: 60.00 60.00 60.00
Atoms (fractional coordinates):
La 0.5000 0.5000 0.5000
Pt 0.0000 0.0000 0.0000
Rh 0.2500 0.2500 0.2500
Pt 0.7500 0.7500 0.7500

Values from the calculation:
**Energy of formation**: -1.9 eV per formula unit
**Space-group type**: No. 216
**DOS(E_F)**: 0.8 states/eV per cell


Entry from the Alexandria database: an optimized crystal structure of YFeB2 (PBE).

abc: 3.2040 6.6049 9.0954
angles: 90.00 90.00 90.00
Atoms (fractional coordinates):
B 0.2500 0.3059 0.3392
Fe 0.7500 0.9958 0.5982
B 0.7500 0.7245 0.0807
Fe 0.2500 0.5042 0.0982
B 0.2500 0.8059 0.1608
B 0.7500 0.1941 0.8392
B 0.7500 0.6941 0.6608
B 0.2500 0.2755 0.9193
B 0.7500 0.2245 0.4193
Y 0.2500 0.8688 0.8618
Y 0.7500 0.1312 0.1382
Y 0.2500 0.3688 0.6382
Fe 0.2500 0.0042 0.4018
Y 0.7500 0.6312 0.3618
B 0.2500 0.7755 0.5807
Fe 0.7500 0.4958 0.9018

Values from the calculation:
**Energy of formation**: -1.6 eV per formula unit
**Space-group type**: No. 62
**Polymorph energy (0 for the lowest one)**: 0.0754 eV/atom
**DOS(E_F)**: 8.5 states/eV per cell


Entry from the Alexandria database: an optimized crystal structure of NdSm2PaS4 (PBE).

abc: 3.9717 6.9208 6.9234
angles: 109.13 90.00 90.00
Atoms (fractional coordinates):
S 0.0000 0.2566 0.7533
Pa 0.5000 0.5000 0.0000
Sm 0.5000 0.0000 0.5000
S 0.0000 0.7434 0.2467
S 0.5000 0.7430 0.7501
S 0.5000 0.2570 0.2499
Nd 0.0000 0.0000 0.0000
Sm 0.0000 0.5000 0.5000

Values from the calculation:
**Formation energy without anion corrections**: -1.89 eV per atom
**Space-group type**: No. 10
**DOS(E_F)**: 5.7 states/eV per cell


Entry from the Alexandria database: an optimized crystal structure of Ta2FeSe (PBE).

abc: 5.3617 5.3617 7.2340
angles: 68.25 68.25 90.00
Atoms (fractional coordinates):
Ta 0.3750 0.4243 0.7500
Fe 0.2500 0.7500 0.5000
Ta 0.1743 0.6250 0.2500
Ta 0.8750 0.8257 0.7500
Se 0.7500 0.2500 0.5000
Ta 0.5757 0.1250 0.2500
Se 0.0000 0.0000 0.0000
Fe 0.5000 0.5000 0.0000

Values from the calculation:
**Formation energy without anion corrections**: 0.69 eV per atom
**Space-group type**: No. 122
**DOS(E_F)**: 12.7 states/eV per cell


Entry from the Alexandria database: an optimized crystal structure of TiV4Pb (PBE).

abc: 5.1165 5.1165 5.1165
angles: 60.00 60.00 60.00
Atoms (fractional coordinates):
Pb 0.2500 0.2500 0.2500
V 0.6281 0.6281 0.6281
V 0.6281 0.6281 0.1157
V 0.6281 0.1157 0.6281
V 0.1157 0.6281 0.6281
Ti 0.0000 0.0000 0.0000

Values from the calculation:
**Energy of formation**: 1.1 eV per formula unit
**Space-group type**: No. 216
**DOS(E_F)**: 7.6 states/eV per cell


Entry from the Alexandria database: an optimized crystal structure of LaSeI (PBE).

abc: 5.8115 4.8425 8.0316
angles: 90.00 109.43 90.00
Atoms (fractional coordinates):
I 0.7804 0.2500 0.0686
I 0.2196 0.7500 0.9314
Se 0.7688 0.2500 0.5545
La 0.3301 0.2500 0.6791
Se 0.2312 0.7500 0.4455
La 0.6699 0.7500 0.3209

Values from the calculation:
**Formation energy without anion corrections**: -1.81 eV per atom
**Space-group type**: No. 11
**DOS(E_F)**: 0.0 states/eV per cell


Entry from the Alexandria database: an optimized crystal structure of Pa2Co3Si4 (PBE).

abc: 5.3759 7.1892 7.4185
angles: 90.00 111.24 90.00
Atoms (fractional coordinates):
Si 0.6813 0.7500 0.8627
Co 0.5116 0.7500 0.5232
Pa 0.8961 0.4019 0.7922
Si 0.8181 0.0086 0.6363
Co 0.0116 0.7500 0.5232
Si 0.3187 0.2500 0.1373
Pa 0.1039 0.5981 0.2078
Pa 0.6039 0.9019 0.2078
Co 0.0000 0.0000 0.0000
Si 0.1813 0.7500 0.8627
Si 0.6819 0.5086 0.3637
Si 0.1819 0.9914 0.3637
Co 0.4884 0.2500 0.4768
Pa 0.3961 0.0981 0.7922
Si 0.3181 0.4914 0.6363
Si 0.8187 0.2500 0.1373
Co 0.9884 0.2500 0.4768
Co 0.5000 0.5000 0.0000

Values from the calculation:
**Formation energy without anion corrections**: -0.65 eV per atom
**Space-group type**: No. 64
**DOS(E_F)**: 9.9 states/eV per cell


Entry from the Alexandria database: an optimized crystal structure of K2As2O5 (PBE).

abc: 4.1502 6.2863 6.3755
angles: 102.34 90.00 109.28
Atoms (fractional coordinates):
O 0.8569 0.7137 0.3677
O 0.3106 0.6213 0.0379
O 0.1431 0.2863 0.6323
As 0.1512 0.3025 0.9032
As 0.8488 0.6975 0.0968
K 0.3912 0.7824 0.6498
O 0.0000 0.0000 0.0000
O 0.6894 0.3787 0.9621
K 0.6088 0.2176 0.3502

Values from the calculation:
**Formation energy without anion corrections**: -1.33 eV per atom
**Space-group type**: No. 12


Entry from the Alexandria database: an optimized crystal structure of ZnSeBr (PBE).

abc: 8.1182 8.1182 8.1182
angles: 158.74 153.07 34.56
Atoms (fractional coordinates):
Br 0.9603 0.9603 0.0000
Zn 0.8058 0.8058 0.0000
Se 0.2338 0.2338 0.0000

Values from the calculation:
**Formation energy without anion corrections**: -0.29 eV per atom
**Space-group type**: No. 44
**DOS(E_F)**: 0.7 states/eV per cell


Q: Number 2 is which compound?
A: Ac8TlSi2